No. 1
Computed, not measured: crystalline Cr2TcRu at its relaxed geometry at the GGA-PBE level of DFT.

```
data_Cr2TcRu
_space_group_name_H-M_alt 'P 1'
_space_group_IT_number 1
_space_group_name_Hall 'P 1'
_cell_length_a 8.738
_cell_length_b 8.738
_cell_length_c 8.738
_cell_angle_alpha 17.53
_cell_angle_beta 17.53
_cell_angle_gamma 17.53
loop_
_atom_site_label
_atom_site_type_symbol
_atom_site_fract_x
_atom_site_fract_y
_atom_site_fract_z
Tc1 Tc 0.750 0.750 0.750
Cr1 Cr 0.999 0.999 0.999
Cr2 Cr 0.501 0.501 0.501
Ru1 Ru 0.250 0.250 0.250
```

## Properties
energy relative to the elements = 0.213 eV per atom
DOS(E_F) = 1.5941 states/eV/atom
space group = R-3m

***

No. 2
Computed, not measured: crystalline CsAcMnS3 at its relaxed geometry at the GGA-PBE level of DFT.

```
data_CsAcMnS3
_space_group_name_H-M_alt 'P 1'
_space_group_IT_number 1
_space_group_name_Hall 'P 1'
_cell_length_a 4.390
_cell_length_b 9.740
_cell_length_c 10.017
_cell_angle_alpha 105.73
_cell_angle_beta 90.00
_cell_angle_gamma 90.00
loop_
_atom_site_label
_atom_site_type_symbol
_atom_site_fract_x
_atom_site_fract_y
_atom_site_fract_z
S1 S 0.250 0.832 0.468
Ac1 Ac 0.250 0.661 0.155
Cs1 Cs 0.250 0.192 0.226
S2 S 0.250 0.545 0.851
Cs2 Cs 0.750 0.808 0.774
S3 S 0.250 0.127 0.845
S4 S 0.750 0.873 0.155
Mn1 Mn 0.750 0.917 0.396
Mn2 Mn 0.250 0.083 0.604
Ac2 Ac 0.750 0.339 0.845
S5 S 0.750 0.455 0.149
S6 S 0.750 0.168 0.532
```

## Properties
raw formation energy = -1.43 eV/atom
space group = P2_1/m

***

No. 3
Computed, not measured: crystalline Pr2CuRu at its relaxed geometry at the GGA-PBE level of DFT.

```
data_Pr2CuRu
_space_group_name_H-M_alt 'P 1'
_space_group_IT_number 1
_space_group_name_Hall 'P 1'
_cell_length_a 3.539
_cell_length_b 3.539
_cell_length_c 7.398
_cell_angle_alpha 90.00
_cell_angle_beta 90.00
_cell_angle_gamma 90.00
loop_
_atom_site_label
_atom_site_type_symbol
_atom_site_fract_x
_atom_site_fract_y
_atom_site_fract_z
Ru1 Ru 0.500 0.500 0.000
Cu1 Cu 0.500 0.500 0.500
Pr1 Pr 0.000 0.000 0.238
Pr2 Pr 0.000 0.000 0.762
```

## Properties
energy relative to the elements = -0.124 eV per atom
DOS(E_F) = 0.8552 states/eV/atom
space group = P4/mmm

***

No. 4
Computed, not measured: crystalline TbHfIrPt at its relaxed geometry at the GGA-PBE level of DFT.

```
data_TbHfIrPt
_space_group_name_H-M_alt 'P 1'
_space_group_IT_number 1
_space_group_name_Hall 'P 1'
_cell_length_a 4.793
_cell_length_b 4.793
_cell_length_c 4.793
_cell_angle_alpha 60.00
_cell_angle_beta 60.00
_cell_angle_gamma 60.00
loop_
_atom_site_label
_atom_site_type_symbol
_atom_site_fract_x
_atom_site_fract_y
_atom_site_fract_z
Tb1 Tb 0.000 0.000 0.000
Pt1 Pt 0.750 0.750 0.750
Ir1 Ir 0.250 0.250 0.250
Hf1 Hf 0.500 0.500 0.500
```

## Properties
energy relative to the elements = -0.888 eV per atom
DOS(E_F) = 1.0496 states/eV/atom
space group = F-43m

***

No. 5
Computed, not measured: crystalline ZrOs5 at its relaxed geometry at the GGA-PBE level of DFT.

```
data_ZrOs5
_space_group_name_H-M_alt 'P 1'
_space_group_IT_number 1
_space_group_name_Hall 'P 1'
_cell_length_a 7.471
_cell_length_b 7.471
_cell_length_c 4.451
_cell_angle_alpha 90.00
_cell_angle_beta 90.00
_cell_angle_gamma 158.25
loop_
_atom_site_label
_atom_site_type_symbol
_atom_site_fract_x
_atom_site_fract_y
_atom_site_fract_z
Os1 Os 0.785 0.215 0.500
Os2 Os 0.331 0.669 0.000
Os3 Os 0.672 0.328 0.000
Os4 Os 0.438 0.562 0.500
Zr1 Zr 0.111 0.889 0.500
Os5 Os 0.995 0.005 0.000
```

## Properties
energy relative to the elements = 0.065 eV per atom
DOS(E_F) = 0.7909 states/eV/atom
space group = Amm2
polymorph energy (0 for the lowest one) = 107 meV per atom

***

No. 6
Computed, not measured: crystalline TaMnSb2 at its relaxed geometry at the GGA-PBE level of DFT.

```
data_TaMnSb2
_space_group_name_H-M_alt 'P 1'
_space_group_IT_number 1
_space_group_name_Hall 'P 1'
_cell_length_a 10.526
_cell_length_b 10.526
_cell_length_c 10.526
_cell_angle_alpha 17.36
_cell_angle_beta 17.36
_cell_angle_gamma 17.36
loop_
_atom_site_label
_atom_site_type_symbol
_atom_site_fract_x
_atom_site_fract_y
_atom_site_fract_z
Ta1 Ta 0.486 0.486 0.486
Sb1 Sb 0.027 0.027 0.027
Mn1 Mn 0.759 0.759 0.759
Sb2 Sb 0.228 0.228 0.228
```

## Properties
DOS(E_F) = 0.3673 states/eV/atom
raw formation energy = 0.19 eV/atom
space group = R3m
polymorph energy (0 for the lowest one) = 149 meV per atom

***

No. 7
Computed, not measured: crystalline TmSc6S8 at its relaxed geometry at the GGA-PBE level of DFT.

```
data_TmSc6S8
_space_group_name_H-M_alt 'P 1'
_space_group_IT_number 1
_space_group_name_Hall 'P 1'
_cell_length_a 7.390
_cell_length_b 7.390
_cell_length_c 7.390
_cell_angle_alpha 60.00
_cell_angle_beta 60.00
_cell_angle_gamma 60.00
loop_
_atom_site_label
_atom_site_type_symbol
_atom_site_fract_x
_atom_site_fract_y
_atom_site_fract_z
S1 S 0.744 0.744 0.256
Sc1 Sc 0.500 0.000 0.500
S2 S 0.250 0.250 0.250
Sc2 Sc 0.000 0.000 0.500
Sc3 Sc 0.500 0.000 0.000
S3 S 0.750 0.750 0.750
Sc4 Sc 0.000 0.500 0.500
S4 S 0.256 0.744 0.744
S5 S 0.744 0.256 0.744
Sc5 Sc 0.500 0.500 0.000
Tm1 Tm 0.000 0.000 0.000
Sc6 Sc 0.000 0.500 0.000
S6 S 0.256 0.256 0.744
S7 S 0.744 0.256 0.256
S8 S 0.256 0.744 0.256
```

## Properties
DOS(E_F) = 0.4632 states/eV/atom
raw formation energy = -1.93 eV/atom
space group = Fm-3m
polymorph energy (0 for the lowest one) = 0 meV per atom

***

No. 8
Computed, not measured: crystalline ZrCrAu at its relaxed geometry at the GGA-PBE level of DFT.

```
data_ZrCrAu
_space_group_name_H-M_alt 'P 1'
_space_group_IT_number 1
_space_group_name_Hall 'P 1'
_cell_length_a 4.528
_cell_length_b 4.528
_cell_length_c 4.528
_cell_angle_alpha 60.00
_cell_angle_beta 60.00
_cell_angle_gamma 60.00
loop_
_atom_site_label
_atom_site_type_symbol
_atom_site_fract_x
_atom_site_fract_y
_atom_site_fract_z
Zr1 Zr 0.250 0.250 0.250
Au1 Au 0.000 0.000 0.000
Cr1 Cr 0.500 0.500 0.500
```

## Properties
energy relative to the elements = 0.506 eV per atom
DOS(E_F) = 0.4509 states/eV/atom
space group = F-43m
polymorph energy (0 for the lowest one) = 566 meV per atom

***

No. 9
Computed, not measured: crystalline Ho4TmAl3 at its relaxed geometry at the GGA-PBE level of DFT.

```
data_Ho4TmAl3
_space_group_name_H-M_alt 'P 1'
_space_group_IT_number 1
_space_group_name_Hall 'P 1'
_cell_length_a 3.347
_cell_length_b 8.556
_cell_length_c 8.643
_cell_angle_alpha 119.66
_cell_angle_beta 101.17
_cell_angle_gamma 90.00
loop_
_atom_site_label
_atom_site_type_symbol
_atom_site_fract_x
_atom_site_fract_y
_atom_site_fract_z
Al1 Al 0.000 0.500 0.000
Al2 Al 0.182 0.182 0.364
Al3 Al 0.818 0.818 0.636
Ho1 Ho 0.360 0.557 0.719
Ho2 Ho 0.640 0.838 0.281
Ho3 Ho 0.640 0.443 0.281
Tm1 Tm 0.500 0.000 0.000
Ho4 Ho 0.360 0.162 0.719
```

## Properties
energy relative to the elements = -0.134 eV per atom
DOS(E_F) = 0.8796 states/eV/atom
space group = Immm

***

No. 10
Computed, not measured: crystalline CsP2N at its relaxed geometry at the GGA-PBE level of DFT.

```
data_CsP2N
_space_group_name_H-M_alt 'P 1'
_space_group_IT_number 1
_space_group_name_Hall 'P 1'
_cell_length_a 5.379
_cell_length_b 5.379
_cell_length_c 7.206
_cell_angle_alpha 68.09
_cell_angle_beta 68.09
_cell_angle_gamma 90.00
loop_
_atom_site_label
_atom_site_type_symbol
_atom_site_fract_x
_atom_site_fract_y
_atom_site_fract_z
P1 P 0.375 0.625 0.750
P2 P 0.375 0.625 0.250
Cs1 Cs 0.000 0.000 0.000
P3 P 0.375 0.125 0.250
P4 P 0.875 0.625 0.750
N1 N 0.250 0.750 0.500
N2 N 0.500 0.500 0.000
Cs2 Cs 0.750 0.250 0.500
```

## Properties
DOS(E_F) = 1.0422 states/eV/atom
raw formation energy = 0.66 eV/atom
space group = I4_1/amd

***

No. 11
Computed, not measured: crystalline BeFe2Ag at its relaxed geometry at the GGA-PBE level of DFT.

```
data_BeFe2Ag
_space_group_name_H-M_alt 'P 1'
_space_group_IT_number 1
_space_group_name_Hall 'P 1'
_cell_length_a 4.983
_cell_length_b 4.983
_cell_length_c 2.596
_cell_angle_alpha 79.76
_cell_angle_beta 79.76
_cell_angle_gamma 121.90
loop_
_atom_site_label
_atom_site_type_symbol
_atom_site_fract_x
_atom_site_fract_y
_atom_site_fract_z
Ag1 Ag 0.500 0.000 0.500
Fe1 Fe 0.500 0.500 0.000
Be1 Be 0.000 0.500 0.500
Fe2 Fe 0.000 0.000 0.000
```

## Properties
energy relative to the elements = 0.360 eV per atom
DOS(E_F) = 0.8193 states/eV/atom
space group = C2/m

***

No. 12
Computed, not measured: crystalline Li6Tl3Pb2 at its relaxed geometry at the GGA-PBE level of DFT.

```
data_Li6Tl3Pb2
_space_group_name_H-M_alt 'P 1'
_space_group_IT_number 1
_space_group_name_Hall 'P 1'
_cell_length_a 5.166
_cell_length_b 5.166
_cell_length_c 11.330
_cell_angle_alpha 103.18
_cell_angle_beta 103.18
_cell_angle_gamma 90.00
loop_
_atom_site_label
_atom_site_type_symbol
_atom_site_fract_x
_atom_site_fract_y
_atom_site_fract_z
Li1 Li 0.299 0.299 0.599
Pb1 Pb 0.431 0.431 0.862
Li2 Li 0.701 0.701 0.401
Li3 Li 0.110 0.610 0.221
Li4 Li 0.610 0.110 0.221
Pb2 Pb 0.569 0.569 0.138
Tl1 Tl 0.832 0.832 0.664
Li5 Li 0.390 0.890 0.779
Li6 Li 0.890 0.390 0.779
Tl2 Tl 0.168 0.168 0.336
Tl3 Tl 0.000 0.000 0.000
```

## Properties
energy relative to the elements = -0.023 eV per atom
DOS(E_F) = 0.3910 states/eV/atom
space group = I4/mmm

***

One value per record, in order, for electronic total energy: -9.51, -5.85, -5.86, -8.26, -10.72, -7.12, -6.97, -6.64, -4.39, -4.34, -5.52, -2.39 eV per atom.
One value per record, in order, for V: 52.8, 412.2, 92.7, 77.9, 92.1, 90.6, 285.3, 65.6, 209.7, 177.1, 50.9, 286.2 Å³/cell.